# 1
The following is a GGA-PBE calculation of an optimized crystal structure of AlSi2SbRu, from Alexandria.

a = 4.5788 Å, b = 4.5788 Å, c = 4.9410 Å
α = 90.00°, β = 90.00°, γ = 90.00°
Closest atoms and distances in Å follow each position.
Space group P4/mmm (No. 123)
Asymmetric unit:
Al1 0.0000 0.0000 0.0000  2 Ru 2.47
Si1 0.0000 0.5000 0.5000  2 Ru 2.29
Sb1 0.5000 0.5000 0.0000  4 Al 3.24, 8 Si 3.37
Ru1 0.0000 0.0000 0.5000  4 Si 2.29, 2 Al 2.47

E_form (uncorrected) (eV/f.u.): 1.25



# 2
The following is a GGA-PBE calculation of an optimized crystal structure of Tm12ZrSc2, from Alexandria.

a = 6.9732 Å, b = 9.3786 Å, c = 27.1577 Å
α = 90.00°, β = 93.70°, γ = 90.00°
Closest atoms and distances in Å follow each position.
Space group C2/m (No. 12)
Asymmetric unit:
Tm1 0.0155 0.2474 0.0601  8 Tm 3.26-3.62, 4 Zr 3.30-3.39
Tm2 0.0487 0.2492 0.1935  4 Sc 3.37, 8 Tm 3.39-3.62
Tm3 0.0800 0.2497 0.3186  8 Tm 3.37-3.49, 4 Sc 3.38
Tm4 0.1119 0.2500 0.4466  9 Tm 3.38-3.49
Tm5 0.1543 0.5000 0.6191  10 Tm 3.37-3.49, 1 Sc 3.39
Tm6 0.1548 0.0000 0.6192  10 Tm 3.37-3.49, 1 Sc 3.39
Tm7 0.2158 0.5000 0.8738  10 Tm 3.42-3.52, 1 Zr 3.42, 1 Sc 3.51
Tm8 0.2205 0.0000 0.8739  10 Tm 3.42-3.52, 1 Zr 3.42, 1 Sc 3.51
Zr1 0.2339 0.5000 0.0000  1 Zr 3.26, 10 Tm 3.30-3.42
Sc1 0.1848 0.5000 0.7443  10 Tm 3.37-3.51, 2 Sc 3.47-3.50
Sc2 0.1865 0.0000 0.7444  10 Tm 3.37-3.51, 2 Sc 3.47-3.50

E_form (meV per atom): 131



# 3
The following is a GGA-PBE calculation of an optimized crystal structure of La2PrTl2Hg2, from Alexandria.

a = 5.0180 Å, b = 5.0180 Å, c = 28.0657 Å
α = 90.00°, β = 90.00°, γ = 120.00°
Closest atoms and distances in Å follow each position.
Space group R-3m (No. 166, hexagonal axes)
Asymmetric unit:
La1 0.0000 0.0000 0.1382  3 Hg 3.14, 3 La 3.31
Pr1 0.0000 0.0000 0.0000  6 Tl 3.35
Tl1 0.0000 0.0000 0.2737  3 Hg 3.06, 3 Pr 3.35
Hg1 0.0000 0.0000 0.4280  3 Tl 3.06, 3 La 3.14

E_form (meV per atom): -277



# 4
The following is a GGA-PBE calculation of an optimized crystal structure of LiY3Pb5, from Alexandria.

a = 9.3719 Å, b = 9.3719 Å, c = 6.4912 Å
α = 90.00°, β = 90.00°, γ = 120.00°
Closest atoms and distances in Å follow each position.
Space group P6_3/mcm (No. 193)
Asymmetric unit:
Li1 0.0000 0.0000 0.0000  6 Pb 2.99, 2 Li 3.25
Y1 0.0000 0.3829 0.2500  9 Pb 3.19-3.42
Pb1 0.0000 0.2683 0.7500  2 Li 2.99, 3 Y 3.19-3.27
Pb2 0.3333 0.6667 0.0000  2 Pb 3.25, 6 Y 3.34

E_form (meV per atom): -360



# 5
The following is a GGA-PBE calculation of an optimized crystal structure of Pr8Y5Tm, from Alexandria.

a = 9.8246 Å, b = 9.8246 Å, c = 10.3260 Å
α = 90.00°, β = 90.00°, γ = 90.00°
Closest atoms and distances in Å follow each position.
Space group I-4 (No. 82)
Asymmetric unit:
Pr1 0.0666 0.1697 0.3418  5 Y 3.44-3.68, 4 Pr 3.58-3.81
Pr2 0.0918 0.3196 0.0025  4 Y 3.24-3.54, 1 Tm 3.27
Y1 0.0000 0.5000 0.2500  8 Pr 3.24-3.44
Y2 0.1082 0.2976 0.6746  8 Pr 3.40-3.68, 2 Y 3.55
Tm1 0.0000 0.0000 0.0000  4 Pr 3.27

E_form (meV per atom): 258



# 6
The following is a GGA-PBE calculation of an optimized crystal structure of CsSiTe2N, from Alexandria.

a = 5.2517 Å, b = 5.2517 Å, c = 7.4574 Å
α = 90.00°, β = 90.00°, γ = 90.00°
Closest atoms and distances in Å follow each position.
Space group P4/mmm (No. 123)
Asymmetric unit:
Cs1 0.0000 0.0000 0.0000  4 N 3.71, 2 Si 3.73
Si1 0.0000 0.0000 0.5000  4 Te 2.63
Te1 0.0000 0.5000 0.5000  2 Si 2.63
N1 0.5000 0.5000 0.0000  4 Cs 3.71

E_form (uncorrected) (eV/f.u.): 4.75
Energy above the lowest structure with this stoichiometry (meV/atom): 947



# 7
The following is a GGA-PBE calculation of an optimized crystal structure of LiSmGd2, from Alexandria.

a = 7.8465 Å, b = 7.8465 Å, c = 7.8465 Å
α = 90.00°, β = 90.00°, γ = 90.00°
Closest atoms and distances in Å follow each position.
Space group Fm-3m (No. 225)
Asymmetric unit:
Li1 0.0000 0.0000 0.0000  8 Gd 3.40
Sm1 0.0000 0.0000 0.5000  8 Gd 3.40
Gd1 0.2500 0.2500 0.2500  4 Li 3.40, 4 Sm 3.40

Energy above the lowest structure with this stoichiometry (meV/atom): 119
E_form (meV per atom): 185



# 8
The following is a GGA-PBE calculation of an optimized crystal structure of CrFeRe, from Alexandria.

a = 2.5953 Å, b = 2.5953 Å, c = 11.1211 Å
α = 90.00°, β = 90.00°, γ = 90.00°
Closest atoms and distances in Å follow each position.
Space group I4mm (No. 107)
Asymmetric unit:
Cr1 0.0000 0.0000 0.0000  4 Fe 2.46, 4 Cr 2.60
Fe1 0.0000 0.0000 0.6469  4 Cr 2.46, 4 Fe 2.60, 4 Re 2.61
Re1 0.0000 0.0000 0.3135  4 Re 2.60, 4 Fe 2.61, 4 Cr 2.77

Energy above the lowest structure with this stoichiometry (meV/atom): 170
E_form (meV per atom): 135



# 9
The following is a GGA-PBE calculation of an optimized crystal structure of ScTeI2O, from Alexandria.

a = 5.5702 Å, b = 5.5702 Å, c = 5.6900 Å
α = 90.00°, β = 90.00°, γ = 90.00°
Closest atoms and distances in Å follow each position.
Space group P4/mmm (No. 123)
Asymmetric unit:
Sc1 0.0000 0.0000 0.0000  4 I 2.79, 2 Te 2.84
Te1 0.0000 0.0000 0.5000  2 Sc 2.84
I1 0.0000 0.5000 0.0000  2 Sc 2.79
O1 0.5000 0.5000 0.5000  4 Te 3.94, 8 I 3.98

E_form (uncorrected) (eV/f.u.): 0.87
Energy above the lowest structure with this stoichiometry (meV/atom): 1157



# 10
The following is a GGA-PBE calculation of an optimized crystal structure of TaTcOsW, from Alexandria.

a = 6.3159 Å, b = 6.3159 Å, c = 6.3159 Å
α = 90.00°, β = 90.00°, γ = 90.00°
Closest atoms and distances in Å follow each position.
Space group F-43m (No. 216)
Asymmetric unit:
Ta1 0.0000 0.0000 0.0000  4 Os 2.73, 4 Tc 2.73
Tc1 0.2500 0.2500 0.2500  4 Ta 2.73, 4 W 2.73
Os1 0.2500 0.2500 0.7500  4 Ta 2.73, 4 W 2.73
W1 0.0000 0.0000 0.5000  4 Tc 2.73, 4 Os 2.73

E_form (meV per atom): -63



# 11
The following is a GGA-PBE calculation of an optimized crystal structure of RbLiLa2, from Alexandria.

a = 5.9235 Å, b = 5.9235 Å, c = 24.9763 Å
α = 90.00°, β = 90.00°, γ = 90.00°
Closest atoms and distances in Å follow each position.
Space group I4_1/amd (No. 141, origin choice 2)
Asymmetric unit:
Rb1 0.0000 0.2500 0.3750  4 Li 4.19, 8 La 4.55
Li1 0.0000 0.2500 0.8750  4 La 3.46
La1 0.0000 0.0000 0.0000  2 La 2.96

Energy above the lowest structure with this stoichiometry (meV/atom): 219
E_form (meV per atom): 795



# 12
The following is a GGA-PBE calculation of an optimized crystal structure of SiNi3Te, from Alexandria.

a = 4.6269 Å, b = 4.6269 Å, c = 4.6269 Å
α = 90.00°, β = 90.00°, γ = 90.00°
Closest atoms and distances in Å follow each position.
Space group Pm-3m (No. 221)
Asymmetric unit:
Si1 0.0000 0.0000 0.0000  12 Ni 3.27
Ni1 0.0000 0.5000 0.5000  2 Te 2.31
Te1 0.5000 0.5000 0.5000  6 Ni 2.31

E_form (uncorrected) (eV/f.u.): 4.54
Energy above the lowest structure with this stoichiometry (meV/atom): 655



DOS(E_F) list, top to bottom, in states/eV/atom: 0.604; 1.486; 0.530; 0.628; 1.548; 1.059; 1.297; 0.945; 3.037; 0.922; 1.605; 0.389